(1)
Below is a relaxed FeNiIr crystal, with properties calculated at the PBE level.

Results
The formation energy comes out at -10.9 meV/atom. The value obtained for the energy above the most stable polymorph in this dataset is 3.5 meV per atom. Its spin magnetization is 3.5 μB per formula unit.

abc: 11.2802 2.6594 5.2158
angles: 90.00 104.16 90.00
Last column: nearest neighbours and their distance in Å.
Space group C2/m (No. 12)
Asymmetric unit:
Fe 0.1586 0.0000 0.0772 [4 per cell]  4 Ni 2.52-2.55, 4 Ir 2.55-2.67, 4 Fe 2.66-2.74
Ni 0.0003 0.5000 0.2475 [4 per cell]  4 Fe 2.52-2.55, 4 Ni 2.58-2.66, 4 Ir 2.61-2.64
Ir 0.1682 0.0000 0.5942 [4 per cell]  4 Fe 2.55-2.67, 4 Ni 2.61-2.64, 4 Ir 2.65-2.66


(2)
Below is a relaxed TlCuNF2 crystal, with properties calculated at the PBE level.

Results
The value obtained for the energy above the most stable polymorph in this dataset is 0.0 meV per atom. Its spin magnetization is 2.3 μB per formula unit. For the raw formation energy, the calculation gives -0.46 eV/atom.

abc: 4.3790 4.3790 3.7764
angles: 90.00 90.00 90.00
Last column: nearest neighbours and their distance in Å.
Space group P4/mmm (No. 123)
Asymmetric unit:
Tl 0.0000 0.0000 0.0000 [1 per cell]  8 F 2.89, 4 N 3.10
Cu 0.5000 0.5000 0.5000 [1 per cell]  2 N 1.89
N 0.5000 0.5000 0.0000 [1 per cell]  2 Cu 1.89
F 0.0000 0.5000 0.5000 [2 per cell]  2 Cu 2.19


(3)
Below is a relaxed Au2SeBr2 crystal, with properties calculated at the PBE level.

Results
Its spin magnetization is 0.4 μB per formula unit. For the raw formation energy, the calculation gives 0.16 eV/atom.

abc: 13.2723 5.4958 10.1092
angles: 90.00 110.20 90.00
Last column: nearest neighbours and their distance in Å.
Space group C2/m (No. 12)
Asymmetric unit:
Au 0.0503 0.0000 0.3790 [4 per cell]  2 Se 2.44-2.45
Au 0.1878 0.5000 0.0895 [4 per cell]  4 Br 2.48-2.77
Se 0.1377 0.0000 0.6347 [4 per cell]  2 Au 2.44-2.45
Br 0.0669 0.5000 0.2295 [4 per cell]  1 Au 2.48
Br 0.1970 0.0000 0.0649 [4 per cell]  3 Au 2.53-2.77


(4)
Below is a relaxed Ti2Pd3 crystal, with properties calculated at the PBE level.

Results
The formation energy comes out at -595.1 meV/atom. The value obtained for the energy above the most stable polymorph in this dataset is 0.0 meV per atom. Its spin magnetization is 0.0 μB per formula unit.

abc: 14.3454 4.7315 4.6319
angles: 90.00 90.00 90.00
Last column: nearest neighbours and their distance in Å.
Space group Cmcm (No. 63)
Asymmetric unit:
Ti 0.1079 0.2276 0.2500 [8 per cell]  9 Pd 2.62-2.92
Pd 0.0000 0.2951 0.7500 [4 per cell]  8 Ti 2.74-2.92, 4 Pd 2.79-3.02
Pd 0.1948 0.2851 0.7500 [8 per cell]  5 Ti 2.62-2.83, 5 Pd 2.79-2.85


(5)
Below is a relaxed ErZr4 crystal, with properties calculated at the PBE level.

Results
The formation energy comes out at 1254.6 meV/atom. The value obtained for the energy above the most stable polymorph in this dataset is 1190.3 meV per atom. Its spin magnetization is 0.0 μB per formula unit.

abc: 5.1408 5.1408 5.1408
angles: 90.00 90.00 90.00
Last column: nearest neighbours and their distance in Å.
Space group Pm-3m (No. 221)
Asymmetric unit:
Er 0.0000 0.0000 0.0000 [1 per cell]  6 Zr 2.57
Zr 0.0000 0.0000 0.5000 [3 per cell]  2 Er 2.57
Zr 0.5000 0.5000 0.5000 [1 per cell]  12 Zr 3.64


(6)
Below is a relaxed FeAu3 crystal, with properties calculated at the PBE level.

Results
The formation energy comes out at 172.7 meV/atom. Its spin magnetization is 3.1 μB per formula unit.

abc: 5.9909 7.9257 2.8549
angles: 90.00 90.00 90.00
Last column: nearest neighbours and their distance in Å.
Space group Cmmm (No. 65)
Asymmetric unit:
Fe 0.0000 0.0000 0.0000 [2 per cell]  2 Fe 2.85, 10 Au 2.86-3.00
Au 0.0000 0.5000 0.0000 [2 per cell]  10 Au 2.85-2.86, 2 Fe 3.00
Au 0.2500 0.2500 0.5000 [4 per cell]  8 Au 2.85-3.00, 4 Fe 2.86